(1)
Compound: La10Ga3Br3
Source: Alexandria via LeMat-Bulk
Functional: PBE
Structure: relaxed

Cell lengths 9.243, 9.243, 6.548 Å; angles 90.00, 90.00, 120.00 degrees
Fractional positions:
1 La 0.000 0.253 0.000
2 La 0.000 0.749 0.500
3 La 0.251 0.251 0.500
4 La 0.253 0.000 0.000
5 La 0.333 0.667 0.258
6 La 0.333 0.667 0.742
7 La 0.667 0.333 0.258
8 La 0.667 0.333 0.742
9 La 0.747 0.747 0.000
10 La 0.749 0.000 0.500
11 Ga 0.000 0.389 0.500
12 Ga 0.389 0.000 0.500
13 Ga 0.611 0.611 0.500
14 Br 0.000 0.625 0.000
15 Br 0.375 0.375 0.000
16 Br 0.625 0.000 0.000

Summary:
* VASP energy: -4.599 eV/atom
* formation energy (no corrections): -61.6 kJ/mol of atoms
* total moment: 0.0 μB/f.u.

=====

(2)
Compound: Sr2Ga3Ag17
Source: Alexandria via LeMat-Bulk
Functional: PBE
Structure: relaxed

Cell lengths 7.815, 7.815, 7.815 Å; angles 84.26, 84.26, 84.26 degrees
Fractional positions:
1 Sr 0.165 0.165 0.165
2 Sr 0.835 0.835 0.835
3 Ga 0.000 0.000 0.500
4 Ga 0.000 0.500 0.000
5 Ga 0.500 0.000 0.000
6 Ag 0.000 0.500 0.500
7 Ag 0.171 0.171 0.674
8 Ag 0.171 0.674 0.171
9 Ag 0.239 0.500 0.761
10 Ag 0.239 0.761 0.500
11 Ag 0.326 0.829 0.829
12 Ag 0.402 0.402 0.402
13 Ag 0.500 0.000 0.500
14 Ag 0.500 0.239 0.761
15 Ag 0.500 0.500 0.000
16 Ag 0.500 0.761 0.239
17 Ag 0.598 0.598 0.598
18 Ag 0.674 0.171 0.171
19 Ag 0.761 0.239 0.500
20 Ag 0.761 0.500 0.239
21 Ag 0.829 0.326 0.829
22 Ag 0.829 0.829 0.326

Summary:
* VASP energy: -2.721 eV/atom
* calculated formation energy: 5 kJ per mole of atoms
* total moment: 0.0 μB/f.u.

=====

Question: What is the VASP energy in the second record?
Answer: -2.721 eV/atom

=====

Copy entry 1 word for word.
Compound: La10Ga3Br3
Source: Alexandria via LeMat-Bulk
Functional: PBE
Structure: relaxed

Cell lengths 9.243, 9.243, 6.548 Å; angles 90.00, 90.00, 120.00 degrees
Fractional positions:
1 La 0.000 0.253 0.000
2 La 0.000 0.749 0.500
3 La 0.251 0.251 0.500
4 La 0.253 0.000 0.000
5 La 0.333 0.667 0.258
6 La 0.333 0.667 0.742
7 La 0.667 0.333 0.258
8 La 0.667 0.333 0.742
9 La 0.747 0.747 0.000
10 La 0.749 0.000 0.500
11 Ga 0.000 0.389 0.500
12 Ga 0.389 0.000 0.500
13 Ga 0.611 0.611 0.500
14 Br 0.000 0.625 0.000
15 Br 0.375 0.375 0.000
16 Br 0.625 0.000 0.000

Summary:
* VASP energy: -4.599 eV/atom
* formation energy (no corrections): -61.6 kJ/mol of atoms
* total moment: 0.0 μB/f.u.